Record 1
The following is a PBE calculation of crystalline Te2WSe at its relaxed geometry, from Alexandria.

Values from the calculation:
For the magnetization, the calculation gives 0.0000 μB per atom. Its space group is F-43m (216). The energy relative to the elements, uncorrected is 0.8056 eV per atom.

Structure (CIF):
```
data_Te2WSe
_chemical_formula_sum 'Te2 W1 Se1'
_symmetry_space_group_name_H-M 'P 1'
_symmetry_Int_Tables_number 1
_cell_length_a 4.9220
_cell_length_b 4.9220
_cell_length_c 4.9220
_cell_angle_alpha 60.00
_cell_angle_beta 60.00
_cell_angle_gamma 60.00
loop_
_symmetry_equiv_pos_as_xyz
'x,y,z'
loop_
_atom_site_label
_atom_site_fract_x
_atom_site_fract_y
_atom_site_fract_z
_atom_site_occupancy
Te1 0.2500 0.2500 0.2500 1
W1 0.7500 0.7500 0.7500 1
Se1 0.5000 0.5000 0.5000 1
Te2 0.0000 0.0000 0.0000 1
```

---

Record 2
The following is a PBE calculation of crystalline TeW2Se at its relaxed geometry, from Alexandria.

Values from the calculation:
The value obtained for the polymorph energy (0 for the lowest one) is 7.1 kJ/mol of atoms. For the magnetization, the calculation gives 0.0000 μB per atom. Its space group is R3m (160). The energy relative to the elements, uncorrected is 0.1732 eV per atom.

Structure (CIF):
```
data_TeW2Se
_chemical_formula_sum 'Te1 W2 Se1'
_symmetry_space_group_name_H-M 'P 1'
_symmetry_Int_Tables_number 1
_cell_length_a 10.1392
_cell_length_b 10.1392
_cell_length_c 10.1392
_cell_angle_alpha 18.04
_cell_angle_beta 18.04
_cell_angle_gamma 18.04
loop_
_symmetry_equiv_pos_as_xyz
'x,y,z'
loop_
_atom_site_label
_atom_site_fract_x
_atom_site_fract_y
_atom_site_fract_z
_atom_site_occupancy
Se1 0.5273 0.5273 0.5273 1
Te1 0.7276 0.7276 0.7276 1
W1 0.9933 0.9933 0.9933 1
W2 0.2519 0.2519 0.2519 1
```

---

Record 3
The following is a PBE calculation of crystalline Te2W4Se3 at its relaxed geometry, from Alexandria.

Values from the calculation:
For the magnetization, the calculation gives 0.0000 μB per atom. Its space group is C2/c (15). The energy relative to the elements, uncorrected is 0.1936 eV per atom.

Structure (CIF):
```
data_Te2W4Se3
_chemical_formula_sum 'Te4 W8 Se6'
_symmetry_space_group_name_H-M 'P 1'
_symmetry_Int_Tables_number 1
_cell_length_a 9.8173
_cell_length_b 10.0612
_cell_length_c 10.0612
_cell_angle_alpha 92.84
_cell_angle_beta 127.02
_cell_angle_gamma 127.02
loop_
_symmetry_equiv_pos_as_xyz
'x,y,z'
loop_
_atom_site_label
_atom_site_fract_x
_atom_site_fract_y
_atom_site_fract_z
_atom_site_occupancy
W1 0.8531 0.9368 0.0166 1
W2 0.6469 0.9834 0.0632 1
W3 0.4891 0.3781 0.3829 1
Se1 0.5753 0.0306 0.2563 1
Se2 0.4247 0.9694 0.7437 1
Se3 0.0753 0.2563 0.0306 1
W4 0.1469 0.0632 0.9834 1
Te1 0.6854 0.4470 0.2002 1
Se4 0.2500 0.6432 0.3568 1
Te2 0.8146 0.7998 0.5530 1
W5 0.3531 0.0166 0.9368 1
Te3 0.3146 0.5530 0.7998 1
Se5 0.9247 0.7437 0.9694 1
W6 0.0109 0.6171 0.6219 1
W7 0.5109 0.6219 0.6171 1
Se6 0.7500 0.3568 0.6432 1
W8 0.9891 0.3829 0.3781 1
Te4 0.1854 0.2002 0.4470 1
```

---

Record 4
The following is a PBE calculation of crystalline TeWSe4 at its relaxed geometry, from Alexandria.

Values from the calculation:
The value obtained for the polymorph energy (0 for the lowest one) is 135.3 kJ/mol of atoms. For the magnetization, the calculation gives 0.3566 μB per atom. Its space group is F-43m (216). The energy relative to the elements, uncorrected is 1.2431 eV per atom.

Structure (CIF):
```
data_TeWSe4
_chemical_formula_sum 'Te1 W1 Se4'
_symmetry_space_group_name_H-M 'P 1'
_symmetry_Int_Tables_number 1
_cell_length_a 5.6683
_cell_length_b 5.6683
_cell_length_c 5.6683
_cell_angle_alpha 60.00
_cell_angle_beta 60.00
_cell_angle_gamma 60.00
loop_
_symmetry_equiv_pos_as_xyz
'x,y,z'
loop_
_atom_site_label
_atom_site_fract_x
_atom_site_fract_y
_atom_site_fract_z
_atom_site_occupancy
Se1 0.6274 0.6274 0.6274 1
Se2 0.6274 0.6274 0.1177 1
W1 0.0000 0.0000 0.0000 1
Se3 0.6274 0.1177 0.6274 1
Te1 0.2500 0.2500 0.2500 1
Se4 0.1177 0.6274 0.6274 1
```

---

Record 5
The following is a PBE calculation of crystalline TeW2Se at its relaxed geometry, from Alexandria.

Values from the calculation:
The value obtained for the polymorph energy (0 for the lowest one) is 86.7 kJ/mol of atoms. For the magnetization, the calculation gives 0.0000 μB per atom. Its space group is C2/m (12). The energy relative to the elements, uncorrected is 0.9976 eV per atom.

Structure (CIF):
```
data_TeW2Se
_chemical_formula_sum 'Te1 W2 Se1'
_symmetry_space_group_name_H-M 'P 1'
_symmetry_Int_Tables_number 1
_cell_length_a 4.6173
_cell_length_b 5.3662
_cell_length_c 3.6133
_cell_angle_alpha 73.43
_cell_angle_beta 83.12
_cell_angle_gamma 112.95
loop_
_symmetry_equiv_pos_as_xyz
'x,y,z'
loop_
_atom_site_label
_atom_site_fract_x
_atom_site_fract_y
_atom_site_fract_z
_atom_site_occupancy
Te1 0.5000 0.5000 0.0000 1
W1 0.0000 0.0000 0.0000 1
W2 0.5000 0.0000 0.5000 1
Se1 0.0000 0.5000 0.5000 1
```

---

Record 6
The following is a PBE calculation of crystalline Te2WSe at its relaxed geometry, from Alexandria.

Values from the calculation:
For the magnetization, the calculation gives 0.0005 μB per atom. Its space group is C2/m (12). The energy relative to the elements, uncorrected is 0.3674 eV per atom.

Structure (CIF):
```
data_Te2WSe
_chemical_formula_sum 'Te2 W1 Se1'
_symmetry_space_group_name_H-M 'P 1'
_symmetry_Int_Tables_number 1
_cell_length_a 7.1560
_cell_length_b 7.1560
_cell_length_c 4.5174
_cell_angle_alpha 78.73
_cell_angle_beta 78.73
_cell_angle_gamma 26.48
loop_
_symmetry_equiv_pos_as_xyz
'x,y,z'
loop_
_atom_site_label
_atom_site_fract_x
_atom_site_fract_y
_atom_site_fract_z
_atom_site_occupancy
W1 0.7500 0.7500 0.7500 1
Te1 0.4140 0.4140 0.5792 1
Se1 0.2500 0.2500 0.2500 1
Te2 0.0860 0.0860 0.9208 1
```

---

Record 7
The following is a PBE calculation of crystalline TeW2Se at its relaxed geometry, from Alexandria.

Values from the calculation:
The value obtained for the polymorph energy (0 for the lowest one) is 11.1 kJ/mol of atoms. For the magnetization, the calculation gives 0.0000 μB per atom. Its space group is P4mm (99). The energy relative to the elements, uncorrected is 0.2140 eV per atom.

Structure (CIF):
```
data_TeW2Se
_chemical_formula_sum 'Te1 W2 Se1'
_symmetry_space_group_name_H-M 'P 1'
_symmetry_Int_Tables_number 1
_cell_length_a 3.1532
_cell_length_b 3.1532
_cell_length_c 8.2358
_cell_angle_alpha 90.00
_cell_angle_beta 90.00
_cell_angle_gamma 90.00
loop_
_symmetry_equiv_pos_as_xyz
'x,y,z'
loop_
_atom_site_label
_atom_site_fract_x
_atom_site_fract_y
_atom_site_fract_z
_atom_site_occupancy
Te1 0.5000 0.5000 0.8159 1
Se1 0.0000 0.0000 0.4137 1
W1 0.0000 0.0000 0.0225 1
W2 0.5000 0.5000 0.2480 1
```

---

Record 8
The following is a PBE calculation of crystalline TeW3Se at its relaxed geometry, from Alexandria.

Values from the calculation:
The value obtained for the polymorph energy (0 for the lowest one) is 0.0 kJ/mol of atoms. For the magnetization, the calculation gives 0.0000 μB per atom. Its space group is Pm-3m (221). The energy relative to the elements, uncorrected is 1.6907 eV per atom.

Structure (CIF):
```
data_TeW3Se
_chemical_formula_sum 'Te1 W3 Se1'
_symmetry_space_group_name_H-M 'P 1'
_symmetry_Int_Tables_number 1
_cell_length_a 4.6843
_cell_length_b 4.6843
_cell_length_c 4.6843
_cell_angle_alpha 90.00
_cell_angle_beta 90.00
_cell_angle_gamma 90.00
loop_
_symmetry_equiv_pos_as_xyz
'x,y,z'
loop_
_atom_site_label
_atom_site_fract_x
_atom_site_fract_y
_atom_site_fract_z
_atom_site_occupancy
Se1 0.0000 0.0000 0.0000 1
W1 0.0000 0.0000 0.5000 1
Te1 0.5000 0.5000 0.5000 1
W2 0.5000 0.0000 0.0000 1
W3 0.0000 0.5000 0.0000 1
```